DFT (PBE) results for CdWCl after structural relaxation.

Formation energy without anion corrections: 0.83 eV/atom
Calculated volume: 54 Å³/cell
Energy relative to the lowest polymorph listed for this composition: 0.605 eV/atom

Cell and atoms, written as POSCAR:
```
CdWCl
1.0
4.6496 0.0000 0.0000
-2.3248 4.0267 0.0000
0.0000 0.0000 2.8752
Cd W Cl
1 1 1
Direct
0.0000 0.0000 0.0000
0.3333 0.6667 0.5000
0.6667 0.3333 0.5000
```